[1]
Entry from Alexandria via LeMat-Bulk: an optimized crystal structure of Nd4GeSBr2 (GGA-PBE).

a = 7.2133 Å, b = 4.2292 Å, c = 7.7401 Å
α = 90.00°, β = 108.85°, γ = 90.00°
Positions (direct):
Nd1 0.2239 0.0000 0.2015
Nd2 0.2521 0.5000 0.7928
Nd3 0.7479 0.5000 0.2072
Nd4 0.7761 0.0000 0.7985
Ge1 0.5000 0.0000 0.0000
S1 0.0000 0.5000 0.0000
Br1 0.0000 0.0000 0.5000
Br2 0.5000 0.5000 0.5000

Formation energy (no corrections) in eV per atom: -1.395
SG: P2/m, No. 10
Calculated volume in Å³ per cell: 223.5
Energy in eV/cell: -42.32

---

[2]
Entry from Alexandria via LeMat-Bulk: an optimized crystal structure of Nd4GeS2Br (GGA-PBE).

a = 7.2269 Å, b = 4.1565 Å, c = 7.3520 Å
α = 90.00°, β = 108.90°, γ = 90.00°
Positions (direct):
Nd1 0.2234 0.0000 0.2211
Nd2 0.2374 0.5000 0.7628
Nd3 0.7626 0.5000 0.2372
Nd4 0.7766 0.0000 0.7789
Ge1 0.5000 0.0000 0.0000
S1 0.0000 0.0000 0.5000
S2 0.0000 0.5000 0.0000
Br1 0.5000 0.5000 0.5000

Formation energy (no corrections) in eV per atom: -1.569
SG: P2/m, No. 10
Calculated volume in Å³ per cell: 208.9
Energy in eV/cell: -46.17

---

[3]
Entry from Alexandria via LeMat-Bulk: an optimized crystal structure of Nd6Ge3S2Br (GGA-PBE).

a = 9.4654 Å, b = 9.4654 Å, c = 8.4845 Å
α = 102.28°, β = 102.28°, γ = 25.99°
Positions (direct):
Nd1 0.0014 0.0014 0.2680
Nd2 0.3261 0.3261 0.9129
Nd3 0.3330 0.3330 0.4156
Nd4 0.6670 0.6670 0.5844
Nd5 0.6739 0.6739 0.0871
Nd6 0.9986 0.9986 0.7320
Ge1 0.1636 0.1636 0.8334
Ge2 0.5000 0.5000 0.5000
Ge3 0.8364 0.8364 0.1666
S1 0.1675 0.1675 0.3336
S2 0.8325 0.8325 0.6664
Br1 0.5000 0.5000 0.0000

Formation energy (no corrections) in eV per atom: -1.352
SG: C2/m, No. 12
Calculated volume in Å³ per cell: 325.0
Energy in eV/cell: -68.61

---

[4]
Entry from Alexandria via LeMat-Bulk: an optimized crystal structure of Nd8Ge3Se4Br (GGA-PBE).

a = 8.5497 Å, b = 8.5497 Å, c = 8.5497 Å
α = 60.16°, β = 60.16°, γ = 60.16°
Positions (direct):
Nd1 0.2342 0.7560 0.7560
Nd2 0.2440 0.2440 0.7658
Nd3 0.2440 0.7658 0.2440
Nd4 0.2470 0.2470 0.2470
Nd5 0.7530 0.7530 0.7530
Nd6 0.7560 0.2342 0.7560
Nd7 0.7560 0.7560 0.2342
Nd8 0.7658 0.2440 0.2440
Ge1 0.0000 0.0000 0.5000
Ge2 0.0000 0.5000 0.0000
Ge3 0.5000 0.0000 0.0000
Se1 0.0000 0.0000 0.0000
Se2 0.0000 0.5000 0.5000
Se3 0.5000 0.0000 0.5000
Se4 0.5000 0.5000 0.0000
Br1 0.5000 0.5000 0.5000

Formation energy (no corrections) in eV per atom: -1.467
SG: R-3m, No. 166
Calculated volume in Å³ per cell: 443.5
Energy in eV/cell: -91.08

---

[5]
Entry from Alexandria via LeMat-Bulk: an optimized crystal structure of Nd4GeSe2Br (GGA-PBE).

a = 7.3315 Å, b = 4.2599 Å, c = 7.5227 Å
α = 90.00°, β = 109.04°, γ = 90.00°
Positions (direct):
Nd1 0.2360 0.0000 0.2227
Nd2 0.2522 0.5000 0.7686
Nd3 0.7478 0.5000 0.2314
Nd4 0.7640 0.0000 0.7773
Ge1 0.5000 0.0000 0.0000
Se1 0.0000 0.0000 0.5000
Se2 0.0000 0.5000 0.0000
Br1 0.5000 0.5000 0.5000

Formation energy (no corrections) in eV per atom: -1.487
SG: P2/m, No. 10
Calculated volume in Å³ per cell: 222.1
Energy in eV/cell: -44.23

---

[6]
Entry from Alexandria via LeMat-Bulk: an optimized crystal structure of Nd8Ge3SeBr4 (GGA-PBE).

a = 8.8056 Å, b = 8.8056 Å, c = 8.8056 Å
α = 58.34°, β = 58.34°, γ = 58.34°
Positions (direct):
Nd1 0.2310 0.7403 0.7403
Nd2 0.2378 0.2378 0.2378
Nd3 0.2597 0.2597 0.7690
Nd4 0.2597 0.7690 0.2597
Nd5 0.7403 0.2310 0.7403
Nd6 0.7403 0.7403 0.2310
Nd7 0.7622 0.7622 0.7622
Nd8 0.7690 0.2597 0.2597
Ge1 0.0000 0.0000 0.5000
Ge2 0.0000 0.5000 0.0000
Ge3 0.5000 0.0000 0.0000
Se1 0.5000 0.5000 0.5000
Br1 0.0000 0.0000 0.0000
Br2 0.0000 0.5000 0.5000
Br3 0.5000 0.0000 0.5000
Br4 0.5000 0.5000 0.0000

Formation energy (no corrections) in eV per atom: -1.253
SG: R-3m, No. 166
Calculated volume in Å³ per cell: 464.4
Energy in eV/cell: -82.22

---

Q: The lowest energy belongs to which entry?
A: Nd8Ge3Se4Br